[1]
A relaxed structure of Ac2UH3N3. Source: Alexandria via LeMat-Bulk, functional PBE. Values from VASP.

Structure (Quantum ESPRESSO input):
```
&SYSTEM
  ibrav = 0, nat = 9, ntyp = 4
/
ATOMIC_SPECIES
N 14.01 N.upf
H 1.01 H.upf
Ac 227.00 Ac.upf
U 238.03 U.upf
ATOMIC_POSITIONS angstrom
N -0.5892 -1.5223 1.3297
N -1.3367 -3.5832 -1.4551
N -0.0986 -0.3213 -2.0784
H -1.9717 -0.0828 -4.8138
H -2.1821 -0.5152 -0.4957
H -3.1035 -2.8535 3.0484
Ac -2.9972 -2.6441 0.5510
Ac -2.5158 -1.4658 -2.7929
U 0.0000 0.0000 0.0000
CELL_PARAMETERS angstrom
-3.4886 1.3169 -0.0381
-0.2902 -0.9458 -6.1177
-1.7343 -4.4810 3.9139
```

Final energy ... -6.942 eV per atom

---

[2]
A relaxed structure of Ac2HWN3. Source: Alexandria via LeMat-Bulk, functional PBE. Values from VASP.

Structure (Quantum ESPRESSO input):
```
&SYSTEM
  ibrav = 0, nat = 7, ntyp = 4
/
ATOMIC_SPECIES
H 1.01 H.upf
Ac 227.00 Ac.upf
N 14.01 N.upf
W 183.84 W.upf
ATOMIC_POSITIONS angstrom
H 1.9544 0.0000 0.0000
Ac 1.9544 2.0471 1.9420
Ac 0.0000 0.0000 4.7199
N 0.0000 2.0471 0.0000
N 0.0000 0.0000 2.0624
N 1.9544 2.0471 4.5995
W 0.0000 0.0000 0.0000
CELL_PARAMETERS angstrom
3.9088 0.0000 0.0000
0.0000 4.0942 0.0000
-1.9544 -2.0471 6.6619
```

Final energy ... -7.942 eV per atom

---

[3]
A relaxed structure of NaAc2H. Source: Alexandria via LeMat-Bulk, functional PBE. Values from VASP.

Structure (Quantum ESPRESSO input):
```
&SYSTEM
  ibrav = 0, nat = 4, ntyp = 3
/
ATOMIC_SPECIES
Ac 227.00 Ac.upf
H 1.01 H.upf
Na 22.99 Na.upf
ATOMIC_POSITIONS angstrom
Ac 5.8452 3.3747 3.7456
Ac 1.9484 1.1249 6.8357
H 3.8968 2.2498 5.2907
Na 0.0000 0.0000 0.0000
CELL_PARAMETERS angstrom
3.8968 0.0000 0.0000
1.9484 3.3747 0.0000
1.9484 1.1249 10.5813
```

Final energy ... -3.220 eV per atom

---

[4]
A relaxed structure of NaAcH4. Source: Alexandria via LeMat-Bulk, functional PBE. Values from VASP.

Structure (Quantum ESPRESSO input):
```
&SYSTEM
  ibrav = 0, nat = 6, ntyp = 3
/
ATOMIC_SPECIES
Ac 227.00 Ac.upf
Na 22.99 Na.upf
H 1.01 H.upf
ATOMIC_POSITIONS angstrom
Ac -2.7447 1.9501 0.0943
Na -3.5108 4.8693 -2.4805
H -1.2754 5.2408 -2.9832
H -2.5352 2.9026 -2.2375
H -1.3686 0.9070 -2.0238
H -0.5342 2.6714 -0.4798
CELL_PARAMETERS angstrom
-0.7272 -0.8372 -3.8511
-2.6831 -1.1940 2.8513
-0.3927 7.1582 -1.4816
```

Final energy ... -3.478 eV per atom

---

[5]
A relaxed structure of Na2AcH. Source: Alexandria via LeMat-Bulk, functional PBE. Values from VASP.

Structure (Quantum ESPRESSO input):
```
&SYSTEM
  ibrav = 0, nat = 4, ntyp = 3
/
ATOMIC_SPECIES
Na 22.99 Na.upf
H 1.01 H.upf
Ac 227.00 Ac.upf
ATOMIC_POSITIONS angstrom
Na 5.3868 3.1101 3.7137
Na 1.7956 1.0367 6.6004
H 3.5912 2.0734 5.1570
Ac 0.0000 0.0000 0.0000
CELL_PARAMETERS angstrom
3.5912 0.0000 0.0000
1.7956 3.1101 0.0000
1.7956 1.0367 10.3141
```

Final energy ... -2.380 eV per atom

---

[6]
A relaxed structure of Na5Ac3H12. Source: Alexandria via LeMat-Bulk, functional PBE. Values from VASP.

Structure (Quantum ESPRESSO input):
```
&SYSTEM
  ibrav = 0, nat = 80, ntyp = 3
/
ATOMIC_SPECIES
Na 22.99 Na.upf
H 1.01 H.upf
Ac 227.00 Ac.upf
ATOMIC_POSITIONS angstrom
Na 5.9083 -0.0624 -0.8698
Na 5.3209 -2.3953 2.1426
Na 4.0256 -5.5845 0.4069
Na -1.9716 -5.1342 7.4800
Na 4.6035 3.5862 3.6749
Na 2.7208 -1.9359 4.9515
Na 4.1606 3.5459 7.5042
Na -2.4700 -7.8550 4.2890
Na 7.9116 3.9831 5.6140
Na -0.4429 -0.0402 3.8293
Na -1.3048 3.6486 4.5446
Na 4.2257 -0.6112 8.2442
Na 7.4131 1.2623 2.4230
Na -3.1875 -1.8735 5.8213
Na -1.8827 -5.5221 1.2767
Na 0.0000 0.0000 0.0000
Na 1.2810 -7.4178 2.3988
Na 5.8844 -3.8316 6.0737
Na 0.1207 -1.4766 7.7604
Na 1.2159 -3.2606 1.6588
H 2.0238 3.1982 7.7539
H 6.9110 -1.9437 5.7117
H 3.4177 -7.0700 2.1491
H -0.8837 -3.5634 2.1581
H -2.6279 0.4181 9.8235
H 4.8788 -4.5198 2.3433
H 8.1213 0.3093 4.2504
H 6.0946 -5.3869 4.5617
H 1.0184 -2.5271 9.4455
H 1.7774 -1.3186 0.8448
H -2.6797 -4.1812 5.6526
H 6.3252 -0.3084 7.7449
H 0.8045 4.0671 5.5382
H -2.0331 -9.4628 2.8843
H 1.9527 -3.7588 3.6482
H 3.4889 -0.1130 6.2548
H 7.7865 0.2204 0.5457
H -0.6531 1.5150 5.3413
H 2.5794 2.4094 3.3144
H 5.3422 1.4143 3.0843
H -0.5923 2.8955 9.0731
H -4.9905 -4.0616 9.7463
H 8.0694 -4.2899 0.0795
H 4.6371 -7.9390 4.3648
H 7.2536 -7.6318 3.0472
H 0.5628 0.6479 7.5597
H 4.4976 -1.0582 3.6538
H 4.8295 5.6179 7.4107
H 3.7061 -3.8096 6.0145
H 7.5398 1.9436 6.2856
H 7.4746 5.5909 7.0187
H -1.4694 -1.9282 4.1913
H 0.6121 -9.4898 2.4923
H 4.4232 -1.3448 0.4575
H 0.0994 -5.2862 6.8187
H -2.3450 -4.0922 9.3573
H -2.0425 -1.2135 7.7872
H -2.0982 -5.8154 3.6174
H 10.4321 0.1897 0.1568
H 1.7355 -0.0623 3.8885
H 0.9440 -2.8136 6.2493
H 3.6642 -2.5532 9.0582
H -1.8120 3.7599 6.8558
H 2.8621 -6.2813 6.5886
H 7.4841 -2.6584 2.1158
H 1.1123 -6.2324 4.2197
H 4.3293 2.3605 5.6833
H 6.0339 -6.7673 0.8299
Ac 3.5827 -5.6247 4.2362
Ac 5.8194 0.3255 5.3336
Ac 3.3081 0.3970 1.9391
Ac 0.2001 4.9733 7.8374
Ac 9.0719 -1.9581 0.2524
Ac 5.2415 -8.8451 2.0657
Ac 1.8589 1.7529 5.6668
Ac -1.8921 1.3157 7.5570
Ac 2.1334 -4.2688 7.9639
Ac 7.3337 -5.1875 2.3460
Ac -0.3778 -4.1974 4.5694
Ac -3.6303 -1.9138 9.6506
CELL_PARAMETERS angstrom
-2.6095 7.2971 9.0892
-3.7654 -11.0442 2.5533
11.8165 -0.1248 -1.7395
```

Final energy ... -3.249 eV per atom

---

[7]
A relaxed structure of NaAcH. Source: Alexandria via LeMat-Bulk, functional PBE. Values from VASP.

Structure (Quantum ESPRESSO input):
```
&SYSTEM
  ibrav = 0, nat = 24, ntyp = 3
/
ATOMIC_SPECIES
H 1.01 H.upf
Ac 227.00 Ac.upf
Na 22.99 Na.upf
ATOMIC_POSITIONS angstrom
H 4.2694 1.6844 6.0625
H 4.2694 4.4899 3.7352
H 1.4231 1.1211 15.8596
H 1.4231 4.4927 6.0572
H 1.4231 3.9266 13.5330
H 1.4231 1.6872 3.7406
H 4.2694 3.9238 15.8549
H 4.2694 1.1183 13.5383
Ac 4.2694 4.4773 6.2537
Ac 1.4231 1.1337 13.3418
Ac 1.4231 4.4765 3.5371
Ac 1.4231 1.6710 6.2606
Ac 4.2694 1.6718 3.5440
Ac 1.4231 3.9392 16.0514
Ac 4.2694 3.9401 13.3349
Ac 4.2694 1.1346 16.0584
Na 2.9035 4.2082 19.5833
Na 2.7890 4.2083 9.7856
Na 0.0573 4.2083 9.7856
Na 2.7890 1.4028 0.0122
Na 5.6352 4.2082 19.5833
Na 5.6352 1.4027 9.8099
Na 0.0573 1.4028 0.0122
Na 2.9035 1.4027 9.8099
CELL_PARAMETERS angstrom
5.6925 0.0000 0.0000
0.0000 5.6110 0.0000
0.0000 0.0000 19.5955
```

Offset from the most stable computed form ... 0.05 eV/f.u.

---

[8]
A relaxed structure of NaAcH. Source: Alexandria via LeMat-Bulk, functional PBE. Values from VASP.

Structure (Quantum ESPRESSO input):
```
&SYSTEM
  ibrav = 0, nat = 3, ntyp = 3
/
ATOMIC_SPECIES
H 1.01 H.upf
Ac 227.00 Ac.upf
Na 22.99 Na.upf
ATOMIC_POSITIONS angstrom
H 1.8572 -0.8334 2.6804
Ac 3.9572 -0.9789 1.3290
Na 0.3740 0.1273 0.1956
CELL_PARAMETERS angstrom
-1.4169 -1.0875 3.4178
1.9810 -2.5118 -2.1536
5.6243 1.9144 2.9407
```

Offset from the most stable computed form ... 0.00 eV/f.u.

---

[9]
A relaxed structure of NaAc3H. Source: Alexandria via LeMat-Bulk, functional PBE. Values from VASP.

Structure (Quantum ESPRESSO input):
```
&SYSTEM
  ibrav = 0, nat = 5, ntyp = 3
/
ATOMIC_SPECIES
Ac 227.00 Ac.upf
Na 22.99 Na.upf
H 1.01 H.upf
ATOMIC_POSITIONS angstrom
Ac 2.7768 0.0000 0.0000
Ac 0.0000 0.0000 2.7768
Ac 0.0000 2.7768 0.0000
Na 2.7768 2.7768 2.7768
H 0.0000 0.0000 0.0000
CELL_PARAMETERS angstrom
5.5536 0.0000 0.0000
0.0000 5.5536 0.0000
0.0000 0.0000 5.5536
```

Final energy ... -3.398 eV per atom

---

[10]
A relaxed structure of Na2AcH6. Source: Alexandria via LeMat-Bulk, functional PBE. Values from VASP.

Structure (Quantum ESPRESSO input):
```
&SYSTEM
  ibrav = 0, nat = 9, ntyp = 3
/
ATOMIC_SPECIES
H 1.01 H.upf
Na 22.99 Na.upf
Ac 227.00 Ac.upf
ATOMIC_POSITIONS angstrom
H 5.0343 3.5598 6.0363
H 4.2597 1.3688 7.3780
H 1.9358 1.3688 6.0363
H 2.7104 3.5598 7.3780
H 4.2597 1.3688 4.6946
H 2.7104 3.5598 4.6946
Na 5.2276 3.6965 9.0544
Na 1.7425 1.2322 3.0181
Ac 0.0000 0.0000 0.0000
CELL_PARAMETERS angstrom
5.2276 0.0000 3.0181
1.7425 4.9286 3.0181
0.0000 0.0000 6.0363
```

Final energy ... -2.577 eV per atom

---

[11]
A relaxed structure of NaAc2Ni3H12. Source: Alexandria via LeMat-Bulk, functional PBE. Values from VASP.

Structure (Quantum ESPRESSO input):
```
&SYSTEM
  ibrav = 0, nat = 18, ntyp = 4
/
ATOMIC_SPECIES
H 1.01 H.upf
Ac 227.00 Ac.upf
Ni 58.69 Ni.upf
Na 22.99 Na.upf
ATOMIC_POSITIONS angstrom
H -5.8002 -4.1190 3.7139
H -7.6359 -1.6178 1.8648
H -9.9930 -4.2887 4.1194
H -10.2791 -1.7547 5.1462
H -5.6772 -2.8126 5.3590
H -7.1370 -3.6406 2.1608
H -8.8819 -3.6585 6.5536
H -3.0340 -2.6756 2.0776
H -6.1761 -0.7898 5.0630
H -7.5129 -0.3113 3.5099
H -4.4312 -0.7719 0.6702
H -3.3201 -0.1417 3.1044
Ac -5.2446 -1.7453 2.8458
Ac -8.0685 -2.6850 4.3780
Ni -1.9126 0.4363 2.4889
Ni -3.1501 -0.2656 -0.2222
Ni -1.5939 -2.3859 1.3453
Na 0.0000 0.0000 0.0000
CELL_PARAMETERS angstrom
-3.8251 0.8727 4.9778
-6.3001 -0.5312 -0.4445
-3.1878 -4.7718 2.6905
```

Final energy ... -3.956 eV per atom

---

[12]
A relaxed structure of Na2AcNiH8. Source: Alexandria via LeMat-Bulk, functional PBE. Values from VASP.

Structure (Quantum ESPRESSO input):
```
&SYSTEM
  ibrav = 0, nat = 12, ntyp = 4
/
ATOMIC_SPECIES
Na 22.99 Na.upf
H 1.01 H.upf
Ac 227.00 Ac.upf
Ni 58.69 Ni.upf
ATOMIC_POSITIONS angstrom
Na 5.2859 -3.5439 -0.8976
Na -0.3124 -2.8306 -0.1815
H 1.7280 -0.8526 -3.3237
H 0.4770 -2.9483 -2.4165
H 3.2455 -5.5219 2.2446
H 3.3368 -2.6386 -1.4940
H 4.0375 -5.4503 -0.2349
H 1.6367 -3.7359 0.4150
H 4.4965 -3.4261 1.3374
H 0.9360 -0.9241 -0.8442
Ac 2.9037 -1.3487 0.8886
Ni 0.0000 0.0000 0.0000
CELL_PARAMETERS angstrom
-2.2726 -3.8071 1.6479
1.4388 0.1300 -4.5042
5.8073 -2.6973 1.7772
```

Final energy ... -3.542 eV per atom

---

[13]
A relaxed structure of NaAcPH. Source: Alexandria via LeMat-Bulk, functional PBE. Values from VASP.

Structure (Quantum ESPRESSO input):
```
&SYSTEM
  ibrav = 0, nat = 4, ntyp = 4
/
ATOMIC_SPECIES
P 30.97 P.upf
H 1.01 H.upf
Ac 227.00 Ac.upf
Na 22.99 Na.upf
ATOMIC_POSITIONS angstrom
P -2.7396 2.9230 8.1592
H -0.9132 0.9743 2.7197
Ac 0.0000 0.0000 0.0000
Na -1.8264 1.9486 5.4395
CELL_PARAMETERS angstrom
-3.0166 3.1265 2.3676
-2.0892 -1.3417 4.2797
1.4530 2.1125 4.2316
```

Final energy ... -4.204 eV per atom

---

[14]
A relaxed structure of Na2AcH8Pd. Source: Alexandria via LeMat-Bulk, functional PBE. Values from VASP.

Structure (Quantum ESPRESSO input):
```
&SYSTEM
  ibrav = 0, nat = 12, ntyp = 4
/
ATOMIC_SPECIES
Ac 227.00 Ac.upf
H 1.01 H.upf
Pd 106.42 Pd.upf
Na 22.99 Na.upf
ATOMIC_POSITIONS angstrom
Ac 0.0000 0.0000 3.4221
H 1.2340 3.4614 1.0652
H 2.3806 2.7994 5.7789
H 2.3806 1.3744 3.1479
H 1.1466 0.6620 5.7789
H -1.2340 3.4614 1.0652
H 0.0000 2.7489 3.6962
H 3.6147 0.6620 5.7789
H 0.0000 1.3239 1.0652
Pd 0.0000 0.0000 0.0000
Na 0.0000 2.7489 5.9263
Na 2.3806 1.3744 0.9178
CELL_PARAMETERS angstrom
4.7612 0.0000 0.0000
-2.3806 4.1233 0.0000
0.0000 0.0000 6.8441
```

Final energy ... -3.474 eV per atom

---

[15]
A relaxed structure of NaAcH8Pd2. Source: Alexandria via LeMat-Bulk, functional PBE. Values from VASP.

Structure (Quantum ESPRESSO input):
```
&SYSTEM
  ibrav = 0, nat = 12, ntyp = 4
/
ATOMIC_SPECIES
H 1.01 H.upf
Pd 106.42 Pd.upf
Na 22.99 Na.upf
Ac 227.00 Ac.upf
ATOMIC_POSITIONS angstrom
H -4.1734 1.2638 -0.5143
H -5.9091 4.4670 2.5956
H -8.7119 2.1831 0.2317
H -6.4954 1.9175 -1.4170
H -3.3991 2.0225 2.2885
H -5.6156 2.2880 3.9371
H -6.2019 -0.2614 -0.0754
H -7.9375 2.9418 3.0345
Pd -2.7189 0.2437 -0.7494
Pd -9.3921 3.9619 3.2695
Na 0.0000 0.0000 0.0000
Ac -6.0555 2.1028 1.2601
CELL_PARAMETERS angstrom
-3.5770 2.4824 -2.2544
-4.5786 -1.7539 0.0018
-3.9553 3.4771 4.7728
```

Final energy ... -3.759 eV per atom

---

[16]
A relaxed structure of NaAcHPt. Source: Alexandria via LeMat-Bulk, functional PBE. Values from VASP.

Structure (Quantum ESPRESSO input):
```
&SYSTEM
  ibrav = 0, nat = 4, ntyp = 4
/
ATOMIC_SPECIES
H 1.01 H.upf
Na 22.99 Na.upf
Ac 227.00 Ac.upf
Pt 195.08 Pt.upf
ATOMIC_POSITIONS angstrom
H 0.0000 0.0000 0.0000
Na -7.1948 5.2088 2.2658
Ac -2.3983 1.7363 0.7553
Pt -4.7965 3.4725 1.5106
CELL_PARAMETERS angstrom
-2.0620 4.5207 -0.4574
-4.9583 0.4599 -0.3189
-2.5727 1.9645 3.7974
```

Final energy ... -4.091 eV per atom

---

[17]
A relaxed structure of NaAcH6Ru. Source: Alexandria via LeMat-Bulk, functional PBE. Values from VASP.

Structure (Quantum ESPRESSO input):
```
&SYSTEM
  ibrav = 0, nat = 9, ntyp = 4
/
ATOMIC_SPECIES
H 1.01 H.upf
Ac 227.00 Ac.upf
Ru 101.07 Ru.upf
Na 22.99 Na.upf
ATOMIC_POSITIONS angstrom
H 0.7220 4.4770 1.8691
H 1.9903 2.6246 0.7571
H 1.0005 1.0679 2.3237
H -0.2220 2.8531 3.3953
H -0.4141 2.5195 1.0116
H 2.1897 2.9706 3.2304
Ac -1.6038 4.8642 7.1101
Ru 0.8888 2.7611 2.0957
Na 0.8383 4.7700 4.3725
CELL_PARAMETERS angstrom
-2.5534 3.7283 2.2379
0.4011 0.6968 4.9780
3.4997 2.8022 -0.6744
```

Final energy ... -4.292 eV per atom

---

[18]
A relaxed structure of Na2AcH8Ru. Source: Alexandria via LeMat-Bulk, functional PBE. Values from VASP.

Structure (Quantum ESPRESSO input):
```
&SYSTEM
  ibrav = 0, nat = 12, ntyp = 4
/
ATOMIC_SPECIES
H 1.01 H.upf
Na 22.99 Na.upf
Ru 101.07 Ru.upf
Ac 227.00 Ac.upf
ATOMIC_POSITIONS angstrom
H 1.2884 3.5717 1.0711
H 0.0000 1.3401 1.0711
H 3.7374 0.6701 5.5833
H 0.0000 2.8278 3.5158
H 2.4490 2.9016 5.5833
H 1.1606 0.6701 5.5833
H -1.2884 3.5717 1.0711
H 2.4490 1.4139 3.1386
Na 0.0000 2.8278 5.8117
Na 2.4490 1.4139 0.8427
Ru 0.0000 0.0000 0.0000
Ac 0.0000 0.0000 3.3272
CELL_PARAMETERS angstrom
4.8979 0.0000 0.0000
-2.4490 4.2417 0.0000
0.0000 0.0000 6.6544
```

Final energy ... -3.786 eV per atom

---

[19]
A relaxed structure of NaAcSbH. Source: Alexandria via LeMat-Bulk, functional PBE. Values from VASP.

Structure (Quantum ESPRESSO input):
```
&SYSTEM
  ibrav = 0, nat = 4, ntyp = 4
/
ATOMIC_SPECIES
Ac 227.00 Ac.upf
H 1.01 H.upf
Sb 121.76 Sb.upf
Na 22.99 Na.upf
ATOMIC_POSITIONS angstrom
Ac 0.0000 0.0000 0.0000
H -2.9967 -1.0154 0.8177
Sb -8.9901 -3.0462 2.4531
Na -5.9934 -2.0308 1.6354
CELL_PARAMETERS angstrom
-5.1932 1.2250 -0.0964
-3.6363 -3.8452 -0.6866
-3.1573 -1.4414 4.0538
```

Final energy ... -3.691 eV per atom

---

[20]
A relaxed structure of NaAcHSe. Source: Alexandria via LeMat-Bulk, functional PBE. Values from VASP.

Structure (Quantum ESPRESSO input):
```
&SYSTEM
  ibrav = 0, nat = 4, ntyp = 4
/
ATOMIC_SPECIES
H 1.01 H.upf
Se 78.96 Se.upf
Na 22.99 Na.upf
Ac 227.00 Ac.upf
ATOMIC_POSITIONS angstrom
H 7.6289 4.4045 3.1145
Se 2.5430 1.4682 1.0382
Na 5.0859 2.9364 2.0763
Ac 0.0000 0.0000 0.0000
CELL_PARAMETERS angstrom
5.0859 0.0000 0.0000
2.5430 4.4045 0.0000
2.5430 1.4682 4.1526
```

Final energy ... -3.752 eV per atom

---

no.,volume (Å³/f.u.)
1,124
2,107
3,139
4,94
5,115
6,328
7,78
8,85
9,171
10,156
11,171
12,129
13,86
14,134
15,136
16,88
17,100
18,138
19,107
20,93